Compound: TcHgSb2
Source: the Alexandria database
Functional: SCAN
Structure: PBEsol geometry

Cell: 4.5481 5.0617 4.5481 Å, 116.70 90.00 116.70°
Last column: magnetic moment on the atom in μB.
Positions (direct):
Tc 0.5000 0.0000 0.5000  1.14
Sb 0.7500 0.5000 0.2500  0.00
Sb 0.2500 0.5000 0.7500  0.00
Hg 0.0000 0.0000 0.0000  0.01

crystal system	tetragonal
uncorrected formation energy	0.60	eV per atom
density	11.1	g/cm3
calculated volume	80.85	Å³/cell
DFT total energy	-43.837	eV/atom

---

Compound: TcHgSb2
Source: the Alexandria database
Functional: SCAN
Structure: PBEsol geometry

Cell: 3.2416 3.2416 10.3016 Å, 80.95 80.95 60.00°
Positions (direct):
Hg 0.0000 0.0000 0.0000
Tc 0.5000 0.5000 0.5000
Sb 0.2311 0.2311 0.3066
Sb 0.7689 0.7689 0.6934

crystal system	trigonal
uncorrected formation energy	0.10	eV per atom
density	9.8	g/cm3
calculated volume	92.19	Å³/cell
DFT total energy	-44.333	eV/atom

---

Compound: TcHgSb2
Source: the Alexandria database
Functional: SCAN
Structure: PBEsol geometry

Cell: 3.2171 3.2171 9.8206 Å, 80.57 80.57 60.00°
Positions (direct):
Tc 0.4970 0.4970 0.5089
Hg 0.2390 0.2390 0.2830
Sb 0.9980 0.9980 0.0061
Sb 0.7660 0.7660 0.7019

crystal system	trigonal
uncorrected formation energy	0.40	eV per atom
density	10.4	g/cm3
calculated volume	86.44	Å³/cell
DFT total energy	-44.041	eV/atom

---

Compound: TcHgSb2
Source: the Alexandria database
Functional: SCAN
Structure: PBEsol geometry

Cell: 3.2094 3.2094 8.5534 Å, 90.00 90.00 90.00°
Positions (direct):
Hg 0.5000 0.5000 0.5000
Sb 0.0000 0.0000 0.1894
Sb 0.0000 0.0000 0.8106
Tc 0.5000 0.5000 0.0000

crystal system	tetragonal
uncorrected formation energy	0.03	eV per atom
density	10.2	g/cm3
calculated volume	88.10	Å³/cell
DFT total energy	-44.411	eV/atom

---

Compound: Hg2SbTe
Source: the Alexandria database
Functional: SCAN
Structure: PBEsol geometry

Cell: 3.1374 4.3509 8.2395 Å, 92.77 90.00 111.13°
Positions (direct):
Hg 0.9922 0.9843 0.9832
Hg 0.2512 0.5023 0.7550
Sb 0.5143 0.0286 0.5169
Te 0.7424 0.4847 0.2449

crystal system	monoclinic
uncorrected formation energy	0.09	eV per atom
density	10.3	g/cm3
excess energy over the best structure of this formula in the dataset	0.0	meV/atom
calculated volume	104.77	Å³/cell
DFT total energy	-52.617	eV/atom

---

Compound: HgSbTe
Source: the Alexandria database
Functional: SCAN
Structure: PBEsol geometry

Cell: 3.1771 5.3927 5.3927 Å, 120.00 90.00 90.00°
Positions (direct):
Sb 0.4991 0.3333 0.6667
Te 0.5015 0.6667 0.3333
Hg 0.9994 0.0000 0.0000

crystal system	trigonal
uncorrected formation energy	0.14	eV per atom
density	9.3	g/cm3
calculated volume	80.02	Å³/cell
DFT total energy	-47.417	eV/atom

---

Compound: Hg2SbTe
Source: the Alexandria database
Functional: SCAN
Structure: PBEsol geometry

Cell: 3.1360 3.1360 10.7951 Å, 90.00 90.00 106.47°
Positions (direct):
Te 0.5000 0.5000 0.2502
Sb 0.0000 0.0000 0.5114
Hg 0.5000 0.5000 0.7515
Hg 0.0000 0.0000 0.9869

crystal system	orthorhombic
uncorrected formation energy	0.17	eV per atom
density	10.6	g/cm3
excess energy over the best structure of this formula in the dataset	78.6	meV/atom
calculated volume	101.81	Å³/cell
DFT total energy	-52.538	eV/atom

---

Compound: YHgSb2Te
Source: the Alexandria database
Functional: SCAN
Structure: PBEsol geometry

Cell: 5.3835 5.3835 5.5071 Å, 90.00 90.00 90.00°
Positions (direct):
Te 0.0000 0.0000 0.5000
Sb 0.5000 0.0000 0.0000
Sb 0.0000 0.5000 0.0000
Y 0.5000 0.5000 0.5000
Hg 0.0000 0.0000 0.0000

crystal system	tetragonal
uncorrected formation energy	0.29	eV per atom
density	6.9	g/cm3
calculated volume	159.61	Å³/cell
DFT total energy	-41.266	eV/atom

---

Compound: ZrHgSb2Te
Source: the Alexandria database
Functional: SCAN
Structure: PBEsol geometry

Cell: 5.3200 5.3200 5.4234 Å, 90.00 90.00 90.00°
Last column: magnetic moment on the atom in μB.
Positions (direct):
Hg 0.0000 0.0000 0.0000  0.00
Zr 0.5000 0.5000 0.5000  0.94
Sb 0.5000 0.0000 0.0000  -0.10
Sb 0.0000 0.5000 0.0000  -0.10
Te 0.0000 0.0000 0.5000  -0.06

crystal system	tetragonal
uncorrected formation energy	0.86	eV per atom
density	7.2	g/cm3
calculated volume	153.49	Å³/cell
DFT total energy	-41.268	eV/atom

---

Compound: Ti3HgSb
Source: the Alexandria database
Functional: SCAN
Structure: PBEsol geometry

Cell: 4.9217 4.9217 4.9217 Å, 90.00 90.00 90.00°
Last column: magnetic moment on the atom in μB.
Positions (direct):
Ti 0.5000 0.0000 0.0000  0.91
Ti 0.0000 0.5000 0.0000  0.91
Ti 0.0000 0.0000 0.5000  0.91
Hg 0.0000 0.0000 0.0000  -0.01
Sb 0.5000 0.5000 0.5000  -0.09

crystal system	cubic
uncorrected formation energy	0.64	eV per atom
density	6.5	g/cm3
calculated volume	119.22	Å³/cell
DFT total energy	-30.068	eV/atom

---

Compound: TlHg2Sb
Source: the Alexandria database
Functional: SCAN
Structure: PBEsol geometry

Cell: 3.4197 3.4197 8.7389 Å, 90.00 90.00 90.00°
Positions (direct):
Hg 0.5000 0.5000 0.2394
Hg 0.0000 0.0000 0.0181
Sb 0.0000 0.0000 0.4837
Tl 0.5000 0.5000 0.7587

crystal system	tetragonal
uncorrected formation energy	0.09	eV per atom
density	11.8	g/cm3
calculated volume	102.19	Å³/cell
DFT total energy	-61.396	eV/atom

---

Compound: TlHg2Sb
Source: the Alexandria database
Functional: SCAN
Structure: PBEsol geometry

Cell: 3.2087 5.0549 6.4115 Å, 90.00 90.00 90.00°
Positions (direct):
Sb 0.5000 0.5000 0.0000
Hg 0.5000 0.0000 0.2592
Hg 0.5000 0.0000 0.7408
Tl 0.0000 0.5000 0.5000

crystal system	orthorhombic
uncorrected formation energy	0.02	eV per atom
density	11.6	g/cm3
calculated volume	103.99	Å³/cell
DFT total energy	-61.464	eV/atom

---

Compound: TlHg2Sb
Source: the Alexandria database
Functional: SCAN
Structure: PBEsol geometry

Cell: 3.6370 4.7474 6.9367 Å, 110.01 105.20 90.00°
Positions (direct):
Sb 0.5028 0.5028 0.0056
Hg 0.2158 0.7158 0.4316
Hg 0.9994 0.9994 0.9988
Tl 0.7820 0.2820 0.5639

crystal system	orthorhombic
uncorrected formation energy	0.06	eV per atom
density	11.2	g/cm3
calculated volume	108.07	Å³/cell
DFT total energy	-61.423	eV/atom

---

Compound: TlHg2Sb
Source: the Alexandria database
Functional: SCAN
Structure: PBEsol geometry

Cell: 5.2519 5.2519 5.2519 Å, 60.00 60.00 60.00°
Positions (direct):
Sb 0.5000 0.5000 0.5000
Tl 0.2500 0.2500 0.2500
Hg 0.0000 0.0000 0.0000
Hg 0.7500 0.7500 0.7500

crystal system	cubic
uncorrected formation energy	0.08	eV per atom
density	11.8	g/cm3
calculated volume	102.43	Å³/cell
DFT total energy	-61.407	eV/atom

---

Compound: TlHg2Sb
Source: the Alexandria database
Functional: SCAN
Structure: PBEsol geometry

Cell: 3.7180 5.2168 5.2168 Å, 90.00 90.00 90.00°
Positions (direct):
Sb 0.5000 0.5000 0.5000
Hg 0.0000 0.5000 0.0000
Hg 0.0000 0.0000 0.5000
Tl 0.5000 0.0000 0.0000

crystal system	tetragonal
uncorrected formation energy	0.11	eV per atom
density	11.9	g/cm3
calculated volume	101.19	Å³/cell
DFT total energy	-61.376	eV/atom

---

Compound: TlHg2Sb
Source: the Alexandria database
Functional: SCAN
Structure: PBEsol geometry

Cell: 3.2294 5.6079 5.9173 Å, 90.00 90.00 90.00°
Positions (direct):
Hg 0.5000 0.5000 0.1354
Hg 0.0000 0.0000 0.1144
Sb 0.0000 0.0000 0.6144
Tl 0.5000 0.5000 0.6358

crystal system	orthorhombic
uncorrected formation energy	0.03	eV per atom
density	11.3	g/cm3
calculated volume	107.16	Å³/cell
DFT total energy	-61.462	eV/atom

---

Compound: TlHg2Sb
Source: the Alexandria database
Functional: SCAN
Structure: PBEsol geometry

Cell: 5.1068 5.3108 5.1068 Å, 61.26 90.00 118.74°
Positions (direct):
Tl 0.0000 0.0000 0.0000
Hg 0.7500 0.5000 0.7500
Hg 0.2500 0.5000 0.2500
Sb 0.5000 0.0000 0.5000

crystal system	tetragonal
uncorrected formation energy	0.06	eV per atom
density	11.9	g/cm3
calculated volume	101.56	Å³/cell
DFT total energy	-61.424	eV/atom

---

Compound: TlHg2Sb
Source: the Alexandria database
Functional: SCAN
Structure: PBEsol geometry

Cell: 3.2011 6.0989 6.0989 Å, 110.34 102.72 102.72°
Positions (direct):
Sb 0.5000 0.0000 0.0000
Hg 0.0000 0.5000 0.0000
Hg 0.0000 0.0000 0.5000
Tl 0.5000 0.5000 0.5000

crystal system	monoclinic
uncorrected formation energy	0.07	eV per atom
density	11.7	g/cm3
calculated volume	103.02	Å³/cell
DFT total energy	-61.420	eV/atom

---

Compound: HgSbW
Source: the Alexandria database
Functional: SCAN
Structure: PBEsol geometry

Cell: 2.9171 2.9171 8.4383 Å, 96.21 96.21 111.99°
Positions (direct):
Sb 0.3063 0.3063 0.6126
W 0.6710 0.6710 0.3420
Hg 0.0227 0.0227 0.0454

crystal system	orthorhombic
uncorrected formation energy	0.80	eV per atom
density	12.9	g/cm3
calculated volume	65.33	Å³/cell
DFT total energy	-57.571	eV/atom

---

Compound: Hg2SbW
Source: the Alexandria database
Functional: SCAN
Structure: PBEsol geometry

Cell: 3.2116 4.7388 6.0368 Å, 111.96 103.81 93.98°
Positions (direct):
Hg 0.0000 0.0000 0.5000
Hg 0.5000 0.5000 0.5000
Sb 0.0000 0.0000 0.0000
W 0.5000 0.5000 0.0000

crystal system	monoclinic
uncorrected formation energy	0.82	eV per atom
density	14.4	g/cm3
calculated volume	81.45	Å³/cell
DFT total energy	-60.004	eV/atom

---

Compound: Hg2SbW
Source: the Alexandria database
Functional: SCAN
Structure: PBEsol geometry

Cell: 3.0253 3.0253 10.5817 Å, 81.78 81.78 60.00°
Positions (direct):
Hg 0.2587 0.2587 0.2238
Hg 0.7413 0.7413 0.7762
W 0.0000 0.0000 0.0000
Sb 0.5000 0.5000 0.5000

crystal system	trigonal
uncorrected formation energy	0.78	eV per atom
density	14.2	g/cm3
calculated volume	82.72	Å³/cell
DFT total energy	-60.044	eV/atom

---

Compound: Hg2SbW
Source: the Alexandria database
Functional: SCAN
Structure: PBEsol geometry

Cell: 2.9443 5.3314 5.5091 Å, 102.82 105.50 90.00°
Positions (direct):
Sb 0.4683 0.4341 0.9366
W 0.7315 0.3026 0.4630
Hg 0.0315 0.9615 0.0630
Hg 0.2687 0.8018 0.5375

crystal system	monoclinic
uncorrected formation energy	0.74	eV per atom
density	14.5	g/cm3
calculated volume	81.09	Å³/cell
DFT total energy	-60.076	eV/atom

---

Compound: Hg2Sb2W
Source: the Alexandria database
Functional: SCAN
Structure: PBEsol geometry

Cell: 3.6576 3.6576 9.5996 Å, 100.98 100.98 90.00°
Positions (direct):
Hg 0.2500 0.7500 0.5000
Hg 0.7500 0.2500 0.5000
Sb 0.5803 0.5803 0.1606
Sb 0.4197 0.4197 0.8394
W 0.0000 0.0000 0.0000

crystal system	tetragonal
uncorrected formation energy	0.69	eV per atom
density	11.1	g/cm3
calculated volume	123.68	Å³/cell
DFT total energy	-55.416	eV/atom

---

Compound: YHg3Sb
Source: the Alexandria database
Functional: SCAN
Structure: PBEsol geometry

Cell: 5.3634 5.3634 5.3634 Å, 90.00 90.00 90.00°
Positions (direct):
Y 0.5000 0.5000 0.5000
Hg 0.0000 0.0000 0.5000
Hg 0.5000 0.0000 0.0000
Hg 0.0000 0.5000 0.0000
Sb 0.0000 0.0000 0.0000

crystal system	cubic
uncorrected formation energy	0.34	eV per atom
density	8.7	g/cm3
calculated volume	154.28	Å³/cell
DFT total energy	-53.577	eV/atom

---

Compound: Y3HgSb
Source: the Alexandria database
Functional: SCAN
Structure: PBEsol geometry

Cell: 5.4870 5.4870 5.4870 Å, 90.00 90.00 90.00°
Positions (direct):
Sb 0.5000 0.5000 0.5000
Y 0.5000 0.0000 0.0000
Y 0.0000 0.0000 0.5000
Y 0.0000 0.5000 0.0000
Hg 0.0000 0.0000 0.0000

crystal system	cubic
uncorrected formation energy	-0.29	eV per atom
density	5.9	g/cm3
calculated volume	165.20	Å³/cell
DFT total energy	-38.081	eV/atom

---

Compound: YHgSb2
Source: the Alexandria database
Functional: SCAN
Structure: PBEsol geometry

Cell: 5.2500 5.2500 5.2500 Å, 60.00 60.00 60.00°
Positions (direct):
Hg 0.5000 0.5000 0.5000
Sb 0.7500 0.7500 0.7500
Sb 0.0000 0.0000 0.0000
Y 0.2500 0.2500 0.2500

crystal system	cubic
uncorrected formation energy	-0.33	eV per atom
density	8.6	g/cm3
calculated volume	102.32	Å³/cell
DFT total energy	-42.958	eV/atom

---

Compound: YHgSb
Source: the Alexandria database
Functional: SCAN
Structure: PBEsol geometry

Cell: 4.1014 4.1014 5.4156 Å, 112.22 112.22 90.08°
Positions (direct):
Sb 0.6754 0.6754 0.3509
Y 0.3246 0.3246 0.6492
Hg 0.0000 0.0000 0.9999

crystal system	orthorhombic
uncorrected formation energy	-0.62	eV per atom
density	8.9	g/cm3
calculated volume	76.96	Å³/cell
DFT total energy	-45.039	eV/atom

---

Compound: Zn2HgSb
Source: the Alexandria database
Functional: SCAN
Structure: PBEsol geometry

Cell: 4.0421 4.0421 5.6674 Å, 110.89 110.89 90.00°
Positions (direct):
Sb 0.2500 0.7500 0.5000
Zn 0.0000 0.0000 0.0000
Zn 0.7500 0.2500 0.5000
Hg 0.5000 0.5000 0.0000

crystal system	tetragonal
uncorrected formation energy	0.24	eV per atom
density	9.4	g/cm3
excess energy over the best structure of this formula in the dataset	124.4	meV/atom
calculated volume	79.96	Å³/cell
DFT total energy	-32.879	eV/atom

---

Compound: Zn2HgSb2
Source: the Alexandria database
Functional: SCAN
Structure: PBEsol geometry

Cell: 4.8334 4.8334 6.2791 Å, 112.64 112.64 90.00°
Positions (direct):
Sb 0.6321 0.6321 0.2642
Sb 0.3679 0.3679 0.7358
Zn 0.7500 0.2500 0.5000
Zn 0.2500 0.7500 0.5000
Hg 0.0000 0.0000 0.0000

crystal system	tetragonal
uncorrected formation energy	0.09	eV per atom
density	7.8	g/cm3
calculated volume	123.06	Å³/cell
DFT total energy	-33.850	eV/atom

---

Compound: Zn2HgSb
Source: the Alexandria database
Functional: SCAN
Structure: PBEsol geometry

Cell: 3.4140 3.4140 8.2512 Å, 78.06 78.06 60.00°
Positions (direct):
Zn 0.2468 0.2468 0.2597
Zn 0.7532 0.7532 0.7403
Sb 0.0000 0.0000 0.0000
Hg 0.5000 0.5000 0.5000

crystal system	trigonal
uncorrected formation energy	0.16	eV per atom
density	9.3	g/cm3
excess energy over the best structure of this formula in the dataset	48.3	meV/atom
calculated volume	80.87	Å³/cell
DFT total energy	-32.955	eV/atom

---

Compound: Zn2HgSb
Source: the Alexandria database
Functional: SCAN
Structure: PBEsol geometry

Cell: 3.0691 3.0691 8.5089 Å, 90.00 90.00 93.86°
Positions (direct):
Zn 0.0000 0.0000 0.9612
Zn 0.5000 0.5000 0.7784
Hg 0.0000 0.0000 0.5407
Sb 0.5000 0.5000 0.2197

crystal system	orthorhombic
uncorrected formation energy	0.20	eV per atom
density	9.4	g/cm3
excess energy over the best structure of this formula in the dataset	86.5	meV/atom
calculated volume	79.97	Å³/cell
DFT total energy	-32.917	eV/atom